Entry 1:
First-principles (PBE) data for crystalline MnRu3 at its relaxed geometry, as listed in Alexandria via LeMat-Bulk.

The value obtained for the total energy is -8.849 eV per atom. Its energy of formation is 39 kJ/mol of atoms. Its total magnetization is 14.34 Bohr magnetons per cell.

It has space group R-3m (No. 166, hexagonal axes), with a = 8.5466 Å, b = 8.5466 Å, c = 2.6848 Å, α = 90.00°, β = 90.00° and γ = 120.00°. The asymmetric unit holds Mn at (0.0000, 0.0000, 0.0000) and Ru at (0.0000, 0.5000, 0.0000).

***

Entry 2:
First-principles (PBE) data for crystalline Mn3Ru at its relaxed geometry, as listed in Alexandria via LeMat-Bulk.

The value obtained for the total energy is -8.939 eV per atom. Its energy of formation is 25 kJ/mol of atoms. Its total magnetization is 15.53 Bohr magnetons per cell.

It has space group R-3m (No. 166, hexagonal axes), with a = 8.1668 Å, b = 8.1668 Å, c = 2.5552 Å, α = 90.00°, β = 90.00° and γ = 120.00°. The asymmetric unit holds Mn at (0.0000, 0.5000, 0.0000) and Ru at (0.0000, 0.0000, 0.0000).

***

Entry 3:
First-principles (PBE) data for crystalline Mn3Ru at its relaxed geometry, as listed in Alexandria via LeMat-Bulk.

The value obtained for the total energy is -9.101 eV per atom. Its energy of formation is 9 kJ/mol of atoms. Its total magnetization is 1.43 Bohr magnetons per cell.

It has space group C2/m (No. 12), with a = 8.538 Å, b = 2.604 Å, c = 4.415 Å, α = 90.00°, β = 100.78° and γ = 90.00°. The asymmetric unit holds Mn at (0.000, 0.000, 0.000), Mn at (0.247, 0.500, 0.242) and Ru at (0.000, 0.500, 0.500).

***

Entry 4:
First-principles (PBE) data for crystalline Mn2Ru at its relaxed geometry, as listed in Alexandria via LeMat-Bulk.

The value obtained for the total energy is -8.851 eV per atom. Its energy of formation is 34 kJ/mol of atoms. Its total magnetization is 5.41 Bohr magnetons per cell.

It has space group P-62m (No. 189), with a = 6.1131 Å, b = 6.1131 Å, c = 3.9429 Å, α = 90.00°, β = 90.00° and γ = 120.00°. The asymmetric unit holds Mn at (0.0000, 0.2449, 0.0000), Mn at (0.0000, 0.5700, 0.5000), Ru at (0.0000, 0.0000, 0.5000) and Ru at (0.3333, 0.6667, 0.0000).

***

Entry 5:
First-principles (PBE) data for crystalline MnRu4 at its relaxed geometry, as listed in Alexandria via LeMat-Bulk.

The value obtained for the total energy is -7.779 eV per atom. Its energy of formation is 142 kJ/mol of atoms. Its total magnetization is 3.18 Bohr magnetons per cell.

It has space group Pm-3m (No. 221), with a = 4.346 Å, b = 4.346 Å, c = 4.346 Å, α = 90.00°, β = 90.00° and γ = 90.00°. The asymmetric unit holds Mn at (0.000, 0.000, 0.000), Ru at (0.000, 0.000, 0.500) and Ru at (0.500, 0.500, 0.500).

***

Entry 6:
First-principles (PBE) data for crystalline MnRu at its relaxed geometry, as listed in Alexandria via LeMat-Bulk.

The value obtained for the total energy is -8.457 eV per atom. Its energy of formation is 74 kJ/mol of atoms. Its total magnetization is 9.55 Bohr magnetons per cell.

It has space group P4_2/mnm (No. 136), with a = 4.899 Å, b = 4.899 Å, c = 4.876 Å, α = 90.00°, β = 90.00° and γ = 90.00°. The asymmetric unit holds Mn at (0.191, 0.191, 0.000) and Ru at (0.193, 0.193, 0.500).

***

Entry 7:
First-principles (PBE) data for crystalline Mn4Ru3 at its relaxed geometry, as listed in Alexandria via LeMat-Bulk.

The value obtained for the total energy is -8.926 eV per atom. Its energy of formation is 28 kJ/mol of atoms. Its total magnetization is 7.07 Bohr magnetons per cell.

It has space group P6/mmm (No. 191), with a = 5.0199 Å, b = 5.0199 Å, c = 4.4164 Å, α = 90.00°, β = 90.00° and γ = 120.00°. The asymmetric unit holds Mn at (0.0000, 0.0000, 0.2307), Mn at (0.3333, 0.6667, 0.0000) and Ru at (0.0000, 0.5000, 0.5000).

***

Entry 8:
First-principles (PBE) data for crystalline Mn24Ru5 at its relaxed geometry, as listed in Alexandria via LeMat-Bulk.

The value obtained for the total energy is -9.184 eV per atom. Its energy of formation is 0 kJ/mol of atoms. Its total magnetization is 0.01 Bohr magnetons per cell.

It has space group I-43m (No. 217), with a = 8.696 Å, b = 8.696 Å, c = 8.696 Å, α = 90.00°, β = 90.00° and γ = 90.00°. The asymmetric unit holds Mn at (0.033, 0.357, 0.643), Mn at (0.090, 0.090, 0.717), Ru at (0.000, 0.000, 0.000) and Ru at (0.183, 0.183, 0.183).

***

Entry 9:
First-principles (PBE) data for crystalline MnRu4 at its relaxed geometry, as listed in Alexandria via LeMat-Bulk.

The value obtained for the total energy is -9.117 eV per atom. Its energy of formation is 13 kJ/mol of atoms. Its total magnetization is 4.30 Bohr magnetons per cell.

It has space group P-1 (No. 2), with a = 2.700 Å, b = 6.659 Å, c = 8.482 Å, α = 109.73°, β = 97.75° and γ = 100.88°. The asymmetric unit holds Mn at (0.000, 0.000, 0.000), Mn at (0.500, 0.000, 0.500), Ru at (0.020, 0.193, 0.783), Ru at (0.215, 0.792, 0.692), Ru at (0.269, 0.622, 0.928) and Ru at (0.466, 0.587, 0.381).

***

Entry 10:
First-principles (PBE) data for crystalline Mn3Ru at its relaxed geometry, as listed in Alexandria via LeMat-Bulk.

The value obtained for the total energy is -9.131 eV per atom. Its energy of formation is 6 kJ/mol of atoms. Its total magnetization is 0.62 Bohr magnetons per cell.

It has space group Pnma (No. 62), with a = 4.482 Å, b = 8.263 Å, c = 5.131 Å, α = 90.00°, β = 90.00° and γ = 90.00°. The asymmetric unit holds Mn at (0.082, 0.250, 0.127), Mn at (0.248, 0.502, 0.871) and Ru at (0.079, 0.250, 0.617).

***

Entry 11:
First-principles (PBE) data for crystalline Mn3Ru at its relaxed geometry, as listed in Alexandria via LeMat-Bulk.

The value obtained for the total energy is -9.146 eV per atom. Its energy of formation is 5 kJ/mol of atoms. Its total magnetization is 0.96 Bohr magnetons per cell.

It has space group Pmmm (No. 47), with a = 2.622 Å, b = 3.599 Å, c = 5.195 Å, α = 90.00°, β = 90.00° and γ = 90.00°. The asymmetric unit holds Mn at (0.000, 0.000, 0.000), Mn at (0.500, 0.500, 0.246) and Ru at (0.000, 0.000, 0.500).

***

Entry 12:
First-principles (PBE) data for crystalline MnRu3 at its relaxed geometry, as listed in Alexandria via LeMat-Bulk.

The value obtained for the total energy is -9.233 eV per atom. Its energy of formation is 2 kJ/mol of atoms. Its total magnetization is 1.81 Bohr magnetons per cell.

It has space group Imm2 (No. 44), with a = 2.697 Å, b = 8.483 Å, c = 4.645 Å, α = 90.00°, β = 90.00° and γ = 90.00°. The asymmetric unit holds Mn at (0.000, 0.000, 0.000), Ru at (0.000, 0.254, 0.330) and Ru at (0.000, 0.500, 0.991).

***

Entry 13:
First-principles (PBE) data for crystalline MnRu at its relaxed geometry, as listed in Alexandria via LeMat-Bulk.

The value obtained for the total energy is -7.743 eV per atom. Its energy of formation is 143 kJ/mol of atoms. Its total magnetization is 23.10 Bohr magnetons per cell.

It has space group I-43m (No. 217), with a = 7.355 Å, b = 7.355 Å, c = 7.355 Å, α = 90.00°, β = 90.00° and γ = 90.00°. The asymmetric unit holds Mn at (0.198, 0.198, 0.198) and Ru at (0.129, 0.129, 0.871).

***

Entry 14:
First-principles (PBE) data for crystalline MnRu at its relaxed geometry, as listed in Alexandria via LeMat-Bulk.

The value obtained for the total energy is -8.755 eV per atom. Its energy of formation is 45 kJ/mol of atoms. Its total magnetization is 4.92 Bohr magnetons per cell.

It has space group I4/m (No. 87), with a = 9.013 Å, b = 9.013 Å, c = 2.615 Å, α = 90.00°, β = 90.00° and γ = 90.00°. The asymmetric unit holds Mn at (0.085, 0.633, 0.000) and Ru at (0.115, 0.174, 0.000).

***

Entry 15:
First-principles (PBE) data for crystalline MnRu at its relaxed geometry, as listed in Alexandria via LeMat-Bulk.

The value obtained for the total energy is -8.527 eV per atom. Its energy of formation is 67 kJ/mol of atoms. Its total magnetization is 0.08 Bohr magnetons per cell.

It has space group P6_3/mmc (No. 194), with a = 3.7653 Å, b = 3.7653 Å, c = 4.5801 Å, α = 90.00°, β = 90.00° and γ = 120.00°. The asymmetric unit holds Mn at (0.0000, 0.0000, 0.0000) and Ru at (0.3333, 0.6667, 0.2500).

***

Entry 16:
First-principles (PBE) data for crystalline MnRu3 at its relaxed geometry, as listed in Alexandria via LeMat-Bulk.

The value obtained for the total energy is -9.252 eV per atom. Its energy of formation is 0 kJ/mol of atoms. Its total magnetization is 0.56 Bohr magnetons per cell.

It has space group P6_3/mmc (No. 194), with a = 5.3743 Å, b = 5.3743 Å, c = 4.2248 Å, α = 90.00°, β = 90.00° and γ = 120.00°. The asymmetric unit holds Mn at (0.3333, 0.6667, 0.2500) and Ru at (0.1702, 0.3405, 0.7500).

***

Entry 17:
First-principles (PBE) data for crystalline MnRu at its relaxed geometry, as listed in Alexandria via LeMat-Bulk.

The value obtained for the total energy is -9.176 eV per atom. Its energy of formation is 4 kJ/mol of atoms. Its total magnetization is 3.70 Bohr magnetons per cell.

It has space group Cmmm (No. 65), with a = 5.716 Å, b = 6.523 Å, c = 2.703 Å, α = 90.00°, β = 90.00° and γ = 90.00°. The asymmetric unit holds Mn at (0.201, 0.000, 0.000) and Ru at (0.000, 0.287, 0.500).

***

Entry 18:
First-principles (PBE) data for crystalline Mn2Ru at its relaxed geometry, as listed in Alexandria via LeMat-Bulk.

The value obtained for the total energy is -8.143 eV per atom. Its energy of formation is 102 kJ/mol of atoms. Its total magnetization is 6.77 Bohr magnetons per cell.

It has space group Pa-3 (No. 205), with a = 5.609 Å, b = 5.609 Å, c = 5.609 Å, α = 90.00°, β = 90.00° and γ = 90.00°. The asymmetric unit holds Mn at (0.106, 0.106, 0.106) and Ru at (0.000, 0.000, 0.500).

***

Entry 19:
First-principles (PBE) data for crystalline MnRu at its relaxed geometry, as listed in Alexandria via LeMat-Bulk.

The value obtained for the total energy is -9.167 eV per atom. Its energy of formation is 5 kJ/mol of atoms. Its total magnetization is 0.00 Bohr magnetons per cell.

It has space group P-6m2 (No. 187), with a = 2.6475 Å, b = 2.6475 Å, c = 4.1188 Å, α = 90.00°, β = 90.00° and γ = 120.00°. The asymmetric unit holds Mn at (0.0000, 0.0000, 0.0000) and Ru at (0.3333, 0.6667, 0.5000).

***

Entry 20:
First-principles (PBE) data for crystalline MnRu at its relaxed geometry, as listed in Alexandria via LeMat-Bulk.

The value obtained for the total energy is -9.110 eV per atom. Its energy of formation is 11 kJ/mol of atoms. Its total magnetization is 3.65 Bohr magnetons per cell.

It has space group I4_1/amd (No. 141, origin choice 2), with a = 3.675 Å, b = 3.675 Å, c = 7.480 Å, α = 90.00°, β = 90.00° and γ = 90.00°. The asymmetric unit holds Mn at (0.000, 0.250, 0.375) and Ru at (0.000, 0.250, 0.875).